[1]
First-principles (GGA-PBE) data for a geometry-optimized Gd5Ag structure, as listed in Alexandria via LeMat-Bulk.

Properties
DFT total energy = -12.177 eV per atom
space-group type = Cmmm, No. 65

Cell: 6.3495 6.3495 5.5965 Å, 90.00 90.00 128.10°
Element x y z (fractional)
Gd 0.0000 0.0000 0.0000
Gd 0.1523 0.8477 0.5000
Gd 0.3414 0.6586 0.0000
Gd 0.6586 0.3414 0.0000
Gd 0.8477 0.1523 0.5000
Ag 0.5000 0.5000 0.5000

[2]
First-principles (GGA-PBE) data for a geometry-optimized Al2OsPb structure, as listed in Alexandria via LeMat-Bulk.

Properties
DFT total energy = -5.706 eV per atom
space-group type = Pmmm, No. 47

Cell: 3.0414 3.0699 8.4197 Å, 90.00 90.00 90.00°
Element x y z (fractional)
Al 0.0000 0.0000 0.1678
Al 0.0000 0.0000 0.8322
Os 0.5000 0.5000 0.0000
Pb 0.5000 0.0000 0.5000

[3]
First-principles (GGA-PBE) data for a geometry-optimized LiTm2NbO6 structure, as listed in Alexandria via LeMat-Bulk.

Properties
DFT total energy = -8.124 eV per atom
energy relative to the elements, uncorrected = -3056 meV per atom
space-group type = R3, No. 146

Cell: 5.9451 5.9451 5.9451 Å, 55.28 55.28 55.28°
Element x y z (fractional)
Li 0.0000 0.0000 0.0000
Tm 0.2488 0.2488 0.2488
Tm 0.7470 0.7470 0.7470
Nb 0.5434 0.5434 0.5434
O 0.1816 0.4641 0.8120
O 0.3550 0.9229 0.6414
O 0.4641 0.8120 0.1816
O 0.6414 0.3550 0.9229
O 0.8120 0.1816 0.4641
O 0.9229 0.6414 0.3550

[4]
First-principles (GGA-PBE) data for a geometry-optimized TaOs structure, as listed in Alexandria via LeMat-Bulk.

Properties
DFT total energy = -10.921 eV per atom
space-group type = P6_3/mmc, No. 194

Cell: 4.4595 4.4595 7.9400 Å, 90.00 90.00 120.00°
Element x y z (fractional)
Ta 0.0000 0.0000 0.2500
Ta 0.0000 0.0000 0.7500
Ta 0.3333 0.6667 0.2500
Ta 0.6667 0.3333 0.7500
Os 0.3333 0.6667 0.5760
Os 0.3333 0.6667 0.9240
Os 0.6667 0.3333 0.0760
Os 0.6667 0.3333 0.4240